Below is crystalline Li7Mn2Co3O12 at its relaxed geometry, with properties calculated at the PBE+U level.

```
Li7Mn2Co3O12
1.0
14.547 -1.453 0.000
14.547 1.453 0.000
-0.908 0.000 5.068
Li Mn Co O
7 2 3 12
direct
0.000 0.000 0.000 Li
0.171 0.171 0.829 Li
0.324 0.324 0.707 Li
0.500 0.500 0.498 Li
0.672 0.672 0.338 Li
0.749 0.749 0.763 Li
0.829 0.829 0.196 Li
0.416 0.416 0.092 Mn
0.584 0.584 0.909 Mn
0.085 0.085 0.410 Co
0.250 0.250 0.265 Co
0.915 0.915 0.592 Co
0.045 0.045 0.726 O
0.121 0.121 0.087 O
0.212 0.212 0.510 O
0.287 0.287 0.018 O
0.380 0.380 0.373 O
0.453 0.453 0.809 O
0.547 0.547 0.190 O
0.622 0.622 0.633 O
0.713 0.713 0.071 O
0.788 0.788 0.463 O
0.877 0.877 0.915 O
0.955 0.955 0.271 O
```

Values from the calculation:
- magnetization (μB per formula unit) = 1.9
- ΔE to the lowest computed polymorph (eV/atom) = 0.070
- E (eV per atom) = -5.827
- symmetry = Cm